[1]
The following is a DFT calculation (PBE) of an optimized crystal structure of CoSnHgS3.

## Properties
- Offset from the most stable computed form: 0 meV/atom
- Space-group type: Cmcm, No. 63

Lattice parameters (Å, degrees): 8.0030 8.0030 9.1089 90.00 90.00 154.36
Atoms (fractional coordinates):
Co (0.0000, 0.0000, 0.0000)
Co (0.0000, 0.0000, 0.5000)
Sn (0.3486, 0.6514, 0.7500)
Sn (0.6514, 0.3486, 0.2500)
Hg (0.3008, 0.6992, 0.2500)
Hg (0.6992, 0.3008, 0.7500)
S (0.0321, 0.9679, 0.2500)
S (0.4076, 0.5924, 0.0256)
S (0.4076, 0.5924, 0.4744)
S (0.5924, 0.4076, 0.5256)
S (0.5924, 0.4076, 0.9744)
S (0.9679, 0.0321, 0.7500)



[2]
The following is a DFT calculation (PBE) of an optimized crystal structure of CoSnHgS3.

## Properties
- Offset from the most stable computed form: 184 meV/atom
- Space-group type: Cmcm, No. 63

Lattice parameters (Å, degrees): 7.1177 7.1177 11.0027 90.00 90.00 150.92
Atoms (fractional coordinates):
Co (0.0821, 0.9179, 0.7500)
Co (0.9179, 0.0821, 0.2500)
Sn (0.2167, 0.7833, 0.2500)
Sn (0.7833, 0.2167, 0.7500)
Hg (0.5000, 0.5000, 0.0000)
Hg (0.5000, 0.5000, 0.5000)
S (0.1909, 0.8091, 0.6077)
S (0.1909, 0.8091, 0.8923)
S (0.4901, 0.5099, 0.7500)
S (0.5099, 0.4901, 0.2500)
S (0.8091, 0.1909, 0.1077)
S (0.8091, 0.1909, 0.3923)



[3]
The following is a DFT calculation (PBE) of an optimized crystal structure of ScCoHgSb.

## Properties
- Offset from the most stable computed form: 98 meV/atom
- Space-group type: F-43m, No. 216

Lattice parameters (Å, degrees): 4.7773 4.7773 4.7773 60.00 60.00 60.00
Atoms (fractional coordinates):
Sc (0.0000, 0.0000, 0.0000)
Co (0.7500, 0.7500, 0.7500)
Hg (0.2500, 0.2500, 0.2500)
Sb (0.5000, 0.5000, 0.5000)



[4]
The following is a DFT calculation (PBE) of an optimized crystal structure of ScCoHgSb.

## Properties
- Offset from the most stable computed form: 0 meV/atom
- Space-group type: F-43m, No. 216

Lattice parameters (Å, degrees): 4.7664 4.7664 4.7664 60.00 60.00 60.00
Atoms (fractional coordinates):
Sc (0.0000, 0.0000, 0.0000)
Co (0.5000, 0.5000, 0.5000)
Hg (0.7500, 0.7500, 0.7500)
Sb (0.2500, 0.2500, 0.2500)



[5]
The following is a DFT calculation (PBE) of an optimized crystal structure of ScCo2HgSb2.

## Properties
- Space-group type: Pmn2_1, No. 31
- DFT total energy: -5.078 eV/atom

Lattice parameters (Å, degrees): 4.3479 8.7829 6.1116 90.00 90.00 90.00
Atoms (fractional coordinates):
Sc (0.0000, 0.1208, 0.0000)
Sc (0.5000, 0.8792, 0.5000)
Co (0.0000, 0.3641, 0.7478)
Co (0.0000, 0.8729, 0.7502)
Co (0.5000, 0.1271, 0.2502)
Co (0.5000, 0.6359, 0.2478)
Hg (0.0000, 0.6201, 0.9864)
Hg (0.5000, 0.3799, 0.4864)
Sb (0.0000, 0.1175, 0.5006)
Sb (0.0000, 0.6391, 0.4874)
Sb (0.5000, 0.3609, 0.9874)
Sb (0.5000, 0.8825, 0.0006)



[6]
The following is a DFT calculation (PBE) of an optimized crystal structure of CoTcHgSb.

## Properties
- Offset from the most stable computed form: 0 meV/atom
- Space-group type: F-43m, No. 216

Lattice parameters (Å, degrees): 4.5486 4.5486 4.5486 60.00 60.00 60.00
Atoms (fractional coordinates):
Co (0.0000, 0.0000, 0.0000)
Tc (0.5000, 0.5000, 0.5000)
Hg (0.2500, 0.2500, 0.2500)
Sb (0.7500, 0.7500, 0.7500)



[7]
The following is a DFT calculation (PBE) of an optimized crystal structure of CoHgSbW.

## Properties
- Offset from the most stable computed form: 292 meV/atom
- Space-group type: F-43m, No. 216

Lattice parameters (Å, degrees): 4.6781 4.6781 4.6781 60.00 60.00 60.00
Atoms (fractional coordinates):
Co (0.0000, 0.0000, 0.0000)
Hg (0.5000, 0.5000, 0.5000)
Sb (0.7500, 0.7500, 0.7500)
W (0.2500, 0.2500, 0.2500)



[8]
The following is a DFT calculation (PBE) of an optimized crystal structure of CoHgSbW.

## Properties
- Offset from the most stable computed form: 0 meV/atom
- Space-group type: F-43m, No. 216

Lattice parameters (Å, degrees): 4.6067 4.6067 4.6067 60.00 60.00 60.00
Atoms (fractional coordinates):
Co (0.0000, 0.0000, 0.0000)
Hg (0.2500, 0.2500, 0.2500)
Sb (0.7500, 0.7500, 0.7500)
W (0.5000, 0.5000, 0.5000)



[9]
The following is a DFT calculation (PBE) of an optimized crystal structure of ZrCoHgSb.

## Properties
- Offset from the most stable computed form: 27 meV/atom
- Space-group type: F-43m, No. 216

Lattice parameters (Å, degrees): 4.8172 4.8172 4.8172 60.00 60.00 60.00
Atoms (fractional coordinates):
Zr (0.0000, 0.0000, 0.0000)
Co (0.7500, 0.7500, 0.7500)
Hg (0.2500, 0.2500, 0.2500)
Sb (0.5000, 0.5000, 0.5000)



[10]
The following is a DFT calculation (PBE) of an optimized crystal structure of ZrCoHgSb.

## Properties
- Offset from the most stable computed form: 0 meV/atom
- Space-group type: F-43m, No. 216

Lattice parameters (Å, degrees): 4.7829 4.7829 4.7829 60.00 60.00 60.00
Atoms (fractional coordinates):
Zr (0.0000, 0.0000, 0.0000)
Co (0.5000, 0.5000, 0.5000)
Hg (0.7500, 0.7500, 0.7500)
Sb (0.2500, 0.2500, 0.2500)



[11]
The following is a DFT calculation (PBE) of an optimized crystal structure of ScCoHg.

## Properties
- Formation enthalpy at 0 K: -0.04 eV/f.u.
- Space-group type: F-43m, No. 216

Lattice parameters (Å, degrees): 4.3548 4.3548 4.3548 60.00 60.00 60.00
Atoms (fractional coordinates):
Sc (0.0000, 0.0000, 0.0000)
Co (0.7500, 0.7500, 0.7500)
Hg (0.5000, 0.5000, 0.5000)



[12]
The following is a DFT calculation (PBE) of an optimized crystal structure of ScCoSnHg.

## Properties
- Offset from the most stable computed form: 72 meV/atom
- Space-group type: F-43m, No. 216

Lattice parameters (Å, degrees): 4.7251 4.7251 4.7251 60.00 60.00 60.00
Atoms (fractional coordinates):
Sc (0.0000, 0.0000, 0.0000)
Co (0.7500, 0.7500, 0.7500)
Sn (0.5000, 0.5000, 0.5000)
Hg (0.2500, 0.2500, 0.2500)



[13]
The following is a DFT calculation (PBE) of an optimized crystal structure of ScCoSnHg.

## Properties
- Offset from the most stable computed form: 0 meV/atom
- Space-group type: F-43m, No. 216

Lattice parameters (Å, degrees): 4.7022 4.7022 4.7022 60.00 60.00 60.00
Atoms (fractional coordinates):
Sc (0.0000, 0.0000, 0.0000)
Co (0.5000, 0.5000, 0.5000)
Sn (0.2500, 0.2500, 0.2500)
Hg (0.7500, 0.7500, 0.7500)



[14]
The following is a DFT calculation (PBE) of an optimized crystal structure of CoSiHg2.

## Properties
- Space-group type: F-43m, No. 216
- DFT total energy: -2.595 eV/atom

Lattice parameters (Å, degrees): 4.6507 4.6507 4.6507 60.00 60.00 60.00
Atoms (fractional coordinates):
Co (0.0000, 0.0000, 0.0000)
Si (0.7500, 0.7500, 0.7500)
Hg (0.2500, 0.2500, 0.2500)
Hg (0.5000, 0.5000, 0.5000)



[15]
The following is a DFT calculation (PBE) of an optimized crystal structure of YCoSiHg.

## Properties
- Offset from the most stable computed form: 110 meV/atom
- Space-group type: F-43m, No. 216

Lattice parameters (Å, degrees): 4.6966 4.6966 4.6966 60.00 60.00 60.00
Atoms (fractional coordinates):
Y (0.0000, 0.0000, 0.0000)
Co (0.7500, 0.7500, 0.7500)
Si (0.5000, 0.5000, 0.5000)
Hg (0.2500, 0.2500, 0.2500)



[16]
The following is a DFT calculation (PBE) of an optimized crystal structure of YCoSiHg.

## Properties
- Offset from the most stable computed form: 0 meV/atom
- Space-group type: F-43m, No. 216

Lattice parameters (Å, degrees): 4.6962 4.6962 4.6962 60.00 60.00 60.00
Atoms (fractional coordinates):
Y (0.0000, 0.0000, 0.0000)
Co (0.5000, 0.5000, 0.5000)
Si (0.2500, 0.2500, 0.2500)
Hg (0.7500, 0.7500, 0.7500)



[17]
The following is a DFT calculation (PBE) of an optimized crystal structure of ZnCoSiHg.

## Properties
- Offset from the most stable computed form: 33 meV/atom
- Space-group type: F-43m, No. 216

Lattice parameters (Å, degrees): 4.4041 4.4041 4.4041 60.00 60.00 60.00
Atoms (fractional coordinates):
Zn (0.0000, 0.0000, 0.0000)
Co (0.7500, 0.7500, 0.7500)
Si (0.5000, 0.5000, 0.5000)
Hg (0.2500, 0.2500, 0.2500)



[18]
The following is a DFT calculation (PBE) of an optimized crystal structure of ZnCoSiHg.

## Properties
- Offset from the most stable computed form: 0 meV/atom
- Space-group type: F-43m, No. 216

Lattice parameters (Å, degrees): 4.4064 4.4064 4.4064 60.00 60.00 60.00
Atoms (fractional coordinates):
Zn (0.0000, 0.0000, 0.0000)
Co (0.5000, 0.5000, 0.5000)
Si (0.2500, 0.2500, 0.2500)
Hg (0.7500, 0.7500, 0.7500)



[19]
The following is a DFT calculation (PBE) of an optimized crystal structure of SmCoHg.

## Properties
- Formation enthalpy at 0 K: -0.05 eV/f.u.
- Space-group type: F-43m, No. 216

Lattice parameters (Å, degrees): 4.5859 4.5859 4.5859 60.00 60.00 60.00
Atoms (fractional coordinates):
Sm (0.0000, 0.0000, 0.0000)
Co (0.7500, 0.7500, 0.7500)
Hg (0.5000, 0.5000, 0.5000)



[20]
The following is a DFT calculation (PBE) of an optimized crystal structure of Sm6Co2Hg.

## Properties
- Formation enthalpy at 0 K: -1.81 eV/f.u.
- Space-group type: Immm, No. 71

Lattice parameters (Å, degrees): 8.5187 8.5187 8.5187 112.50 108.62 107.34
Atoms (fractional coordinates):
Sm (0.0309, 0.2338, 0.7971)
Sm (0.1814, 0.2848, 0.4662)
Sm (0.1814, 0.7152, 0.8966)
Sm (0.3249, 0.0123, 0.6874)
Sm (0.3249, 0.6375, 0.3126)
Sm (0.4367, 0.2338, 0.2029)
Sm (0.5633, 0.7662, 0.7971)
Sm (0.6751, 0.3625, 0.6874)
Sm (0.6751, 0.9877, 0.3126)
Sm (0.8186, 0.2848, 0.1034)
Sm (0.8186, 0.7152, 0.5338)
Sm (0.9691, 0.7662, 0.2029)
Co (0.1124, 0.6123, 0.5000)
Co (0.3428, 0.0000, 0.3428)
Co (0.6572, 0.0000, 0.6572)
Co (0.8876, 0.3876, 0.5000)
Hg (0.0000, 0.0000, 0.0000)
Hg (0.5000, 0.5000, 0.0000)



[21]
The following is a DFT calculation (PBE) of an optimized crystal structure of Sm12Co6Hg.

## Properties
- Formation enthalpy at 0 K: -3.28 eV/f.u.
- Space-group type: Im-3, No. 204

Lattice parameters (Å, degrees): 8.5223 8.5223 8.5223 109.47 109.47 109.47
Atoms (fractional coordinates):
Sm (0.1106, 0.8062, 0.3044)
Sm (0.1938, 0.3044, 0.4982)
Sm (0.1938, 0.6956, 0.8894)
Sm (0.3044, 0.1106, 0.8062)
Sm (0.3044, 0.4982, 0.1938)
Sm (0.4982, 0.1938, 0.3044)
Sm (0.5018, 0.8062, 0.6956)
Sm (0.6956, 0.5018, 0.8062)
Sm (0.6956, 0.8894, 0.1938)
Sm (0.8062, 0.3044, 0.1106)
Sm (0.8062, 0.6956, 0.5018)
Sm (0.8894, 0.1938, 0.6956)
Co (0.1120, 0.6120, 0.5000)
Co (0.3880, 0.5000, 0.8880)
Co (0.5000, 0.1120, 0.6120)
Co (0.5000, 0.8880, 0.3880)
Co (0.6120, 0.5000, 0.1120)
Co (0.8880, 0.3880, 0.5000)
Hg (0.0000, 0.0000, 0.0000)



[22]
The following is a DFT calculation (PBE) of an optimized crystal structure of SmCoHg.

## Properties
- Formation enthalpy at 0 K: 1.58 eV/f.u.
- Space-group type: F-43m, No. 216

Lattice parameters (Å, degrees): 4.7644 4.7644 4.7644 60.00 60.00 60.00
Atoms (fractional coordinates):
Sm (0.0000, 0.0000, 0.0000)
Co (0.7500, 0.7500, 0.7500)
Hg (0.2500, 0.2500, 0.2500)



[23]
The following is a DFT calculation (PBE) of an optimized crystal structure of CoSnHg2.

## Properties
- Space-group type: F-43m, No. 216
- DFT total energy: -2.398 eV/atom

Lattice parameters (Å, degrees): 4.8899 4.8899 4.8899 60.00 60.00 60.00
Atoms (fractional coordinates):
Co (0.0000, 0.0000, 0.0000)
Sn (0.7500, 0.7500, 0.7500)
Hg (0.2500, 0.2500, 0.2500)
Hg (0.5000, 0.5000, 0.5000)



[24]
The following is a DFT calculation (PBE) of an optimized crystal structure of Co2SnHg.

## Properties
- Space-group type: F-43m, No. 216
- DFT total energy: -3.983 eV/atom

Lattice parameters (Å, degrees): 4.5431 4.5431 4.5431 60.00 60.00 60.00
Atoms (fractional coordinates):
Co (0.0000, 0.0000, 0.0000)
Co (0.2500, 0.2500, 0.2500)
Sn (0.5000, 0.5000, 0.5000)
Hg (0.7500, 0.7500, 0.7500)



[25]
The following is a DFT calculation (PBE) of an optimized crystal structure of CoSn2Hg.

## Properties
- Space-group type: F-43m, No. 216
- DFT total energy: -3.329 eV/atom

Lattice parameters (Å, degrees): 4.9505 4.9505 4.9505 60.00 60.00 60.00
Atoms (fractional coordinates):
Co (0.0000, 0.0000, 0.0000)
Sn (0.5000, 0.5000, 0.5000)
Sn (0.7500, 0.7500, 0.7500)
Hg (0.2500, 0.2500, 0.2500)



[26]
The following is a DFT calculation (PBE) of an optimized crystal structure of CoSnHgW.

## Properties
- Offset from the most stable computed form: 168 meV/atom
- Space-group type: F-43m, No. 216

Lattice parameters (Å, degrees): 4.6341 4.6341 4.6341 60.00 60.00 60.00
Atoms (fractional coordinates):
Co (0.0000, 0.0000, 0.0000)
Sn (0.7500, 0.7500, 0.7500)
Hg (0.5000, 0.5000, 0.5000)
W (0.2500, 0.2500, 0.2500)



[27]
The following is a DFT calculation (PBE) of an optimized crystal structure of CoSnHgW.

## Properties
- Offset from the most stable computed form: 0 meV/atom
- Space-group type: F-43m, No. 216

Lattice parameters (Å, degrees): 4.6089 4.6089 4.6089 60.00 60.00 60.00
Atoms (fractional coordinates):
Co (0.0000, 0.0000, 0.0000)
Sn (0.7500, 0.7500, 0.7500)
Hg (0.2500, 0.2500, 0.2500)
W (0.5000, 0.5000, 0.5000)



[28]
The following is a DFT calculation (PBE) of an optimized crystal structure of YCoSnHg.

## Properties
- Offset from the most stable computed form: 13 meV/atom
- Space-group type: F-43m, No. 216

Lattice parameters (Å, degrees): 4.8911 4.8911 4.8911 60.00 60.00 60.00
Atoms (fractional coordinates):
Y (0.0000, 0.0000, 0.0000)
Co (0.7500, 0.7500, 0.7500)
Sn (0.5000, 0.5000, 0.5000)
Hg (0.2500, 0.2500, 0.2500)